# TaTcTe2 (PBE-GGA, optimized geometry)
data_TaTcTe2
_chemical_formula_sum 'Ta1 Tc1 Te2'
_cell_length_a 4.7381
_cell_length_b 4.7381
_cell_length_c 3.3662
_cell_angle_alpha 90.00
_cell_angle_beta 90.00
_cell_angle_gamma 90.00
_space_group_name_H-M_alt 'P 4/m m m'
_space_group_IT_number 123
_space_group_name_Hall '-P 4 2'
loop_
_atom_site_label
_atom_site_type_symbol
_atom_site_fract_x
_atom_site_fract_y
_atom_site_fract_z
_atom_site_occupancy
Ta1 Ta 0.0000 0.0000 0.0000 1
Tc1 Tc 0.5000 0.5000 0.0000 1
Te1 Te 0.0000 0.5000 0.5000 1
# Offset from the most stable computed form ... 0.383 eV per atom
# Energy relative to the elements, uncorrected ... 0.944 eV per formula unit

# Ta4TcTe (PBE-GGA, optimized geometry)
data_Ta4TcTe
_chemical_formula_sum 'Ta16 Tc4 Te4'
_cell_length_a 7.7166
_cell_length_b 7.7166
_cell_length_c 7.7166
_cell_angle_alpha 90.00
_cell_angle_beta 90.00
_cell_angle_gamma 90.00
_space_group_name_H-M_alt 'F -4 3 m'
_space_group_IT_number 216
_space_group_name_Hall 'F -4 2 3'
loop_
_atom_site_label
_atom_site_type_symbol
_atom_site_fract_x
_atom_site_fract_y
_atom_site_fract_z
_atom_site_occupancy
Ta1 Ta 0.1246 0.1246 0.1246 1
Tc1 Tc 0.2500 0.2500 0.7500 1
Te1 Te 0.0000 0.0000 0.5000 1
# Energy relative to the elements, uncorrected ... 3.129 eV per formula unit

# TaTcTe2 (PBE-GGA, optimized geometry)
data_TaTcTe2
_chemical_formula_sum 'Ta2 Tc2 Te4'
_cell_length_a 8.9042
_cell_length_b 3.4842
_cell_length_c 7.1455
_cell_angle_alpha 90.00
_cell_angle_beta 99.07
_cell_angle_gamma 90.00
_space_group_name_H-M_alt 'C 1 m 1'
_space_group_IT_number 8
loop_
_space_group_symop_operation_xyz
'x,y,z'
'x,-y,z'
'x+1/2,y+1/2,z'
'x+1/2,-y+1/2,z'
loop_
_atom_site_label
_atom_site_type_symbol
_atom_site_fract_x
_atom_site_fract_y
_atom_site_fract_z
_atom_site_occupancy
Ta1 Ta 0.0000 0.0000 0.0000 1
Tc1 Tc 0.2818 0.0000 0.9094 1
Te1 Te 0.0286 0.5000 0.6941 1
Te2 Te 0.2474 0.5000 0.2011 1
# Offset from the most stable computed form ... 0.158 eV per atom
# Energy relative to the elements, uncorrected ... 0.042 eV per formula unit

# TaTcTe2 (PBE-GGA, optimized geometry)
data_TaTcTe2
_chemical_formula_sum 'Ta4 Tc4 Te8'
_cell_length_a 4.6377
_cell_length_b 4.6377
_cell_length_c 17.0420
_cell_angle_alpha 90.00
_cell_angle_beta 90.00
_cell_angle_gamma 90.00
_space_group_name_H-M_alt 'I -4 2 d'
_space_group_IT_number 122
_space_group_name_Hall 'I -4 2bw'
loop_
_atom_site_label
_atom_site_type_symbol
_atom_site_fract_x
_atom_site_fract_y
_atom_site_fract_z
_atom_site_occupancy
Ta1 Ta 0.0000 0.0000 0.0000 1
Tc1 Tc 0.0000 0.0000 0.5000 1
Te1 Te 0.2363 0.2500 0.6250 1
# Offset from the most stable computed form ... 0.694 eV per atom
# Energy relative to the elements, uncorrected ... 2.188 eV per formula unit

# Ta3TcTe (PBE-GGA, optimized geometry)
data_Ta3TcTe
_chemical_formula_sum 'Ta3 Tc1 Te1'
_cell_length_a 4.9226
_cell_length_b 4.9226
_cell_length_c 4.9226
_cell_angle_alpha 90.00
_cell_angle_beta 90.00
_cell_angle_gamma 90.00
_space_group_name_H-M_alt 'P m -3 m'
_space_group_IT_number 221
_space_group_name_Hall '-P 4 2 3'
loop_
_atom_site_label
_atom_site_type_symbol
_atom_site_fract_x
_atom_site_fract_y
_atom_site_fract_z
_atom_site_occupancy
Ta1 Ta 0.0000 0.0000 0.5000 1
Tc1 Tc 0.5000 0.5000 0.5000 1
Te1 Te 0.0000 0.0000 0.0000 1
# Offset from the most stable computed form ... 1.074 eV per atom
# Energy relative to the elements, uncorrected ... 10.674 eV per formula unit

# TaVTc2Te (PBE-GGA, optimized geometry)
data_TaVTc2Te
_chemical_formula_sum 'Ta1 V1 Tc2 Te1'
_cell_length_a 4.7209
_cell_length_b 4.7209
_cell_length_c 5.2087
_cell_angle_alpha 90.00
_cell_angle_beta 90.00
_cell_angle_gamma 90.00
_space_group_name_H-M_alt 'P 4/m m m'
_space_group_IT_number 123
_space_group_name_Hall '-P 4 2'
loop_
_atom_site_label
_atom_site_type_symbol
_atom_site_fract_x
_atom_site_fract_y
_atom_site_fract_z
_atom_site_occupancy
Ta1 Ta 0.0000 0.0000 0.0000 1
V1 V 0.5000 0.5000 0.5000 1
Tc1 Tc 0.0000 0.5000 0.0000 1
Te1 Te 0.0000 0.0000 0.5000 1
# Energy relative to the elements, uncorrected ... 9.096 eV per formula unit

What is the energy relative to the elements, uncorrected in the second record? 3.129 eV per formula unit

Please write out number 5 again, unchanged.
# Ta3TcTe (PBE-GGA, optimized geometry)
data_Ta3TcTe
_chemical_formula_sum 'Ta3 Tc1 Te1'
_cell_length_a 4.9226
_cell_length_b 4.9226
_cell_length_c 4.9226
_cell_angle_alpha 90.00
_cell_angle_beta 90.00
_cell_angle_gamma 90.00
_space_group_name_H-M_alt 'P m -3 m'
_space_group_IT_number 221
_space_group_name_Hall '-P 4 2 3'
loop_
_atom_site_label
_atom_site_type_symbol
_atom_site_fract_x
_atom_site_fract_y
_atom_site_fract_z
_atom_site_occupancy
Ta1 Ta 0.0000 0.0000 0.5000 1
Tc1 Tc 0.5000 0.5000 0.5000 1
Te1 Te 0.0000 0.0000 0.0000 1
# Offset from the most stable computed form ... 1.074 eV per atom
# Energy relative to the elements, uncorrected ... 10.674 eV per formula unit

Among the records above, which one has the lowest energy relative to the elements, uncorrected? number 3